Compound: KNa2ScI
Source: Alexandria
Functional: SCAN
Structure: single point on PBEsol structure

Cell and atoms, written as CIF:
```
data_KNa2ScI
_chemical_formula_sum 'K1 Na2 Sc1 I1'
_space_group_name_H-M_alt 'P 1'
_space_group_IT_number 1
_cell_length_a 6.056
_cell_length_b 6.056
_cell_length_c 6.346
_cell_angle_alpha 90.00
_cell_angle_beta 90.00
_cell_angle_gamma 90.00
loop_
_space_group_symop_operation_xyz
'x,y,z'
loop_
_atom_site_label
_atom_site_type_symbol
_atom_site_fract_x
_atom_site_fract_y
_atom_site_fract_z
K1 K 0.000 0.000 0.000
Na1 Na 0.000 0.500 0.000
Na2 Na 0.500 0.000 0.000
Sc1 Sc 0.000 0.000 0.500
I1 I 0.500 0.500 0.500
```

- SG: P4/mmm, No. 123
- Volume: 46.56 Å³/atom
- Raw formation energy: 0.65 eV/atom
- M_tot: 0.55 μB per atom
- Crystal system: tetragonal
- Raw total energy: -64.47 eV per cell